Material: HfPSCl2
Method: DFT, GGA-PBEsol
State: optimized geometry

Magnetic moment = 0.04 μB/atom
Energy = -25.97 eV per cell

a b c (Å): 4.7052 4.7052 5.2581
angles (deg): 90.00 90.00 90.00
Last column: nearest neighbours and their distance in Å.
Fractional coordinates of all 5 atoms:
1 P 0.0000 0.0000 0.5000  2 Hf 2.63
2 Hf 0.0000 0.0000 0.0000  4 Cl 2.35, 2 P 2.63
3 Cl 0.5000 0.0000 0.0000  2 Hf 2.35
4 Cl 0.0000 0.5000 0.0000  2 Hf 2.35
5 S 0.5000 0.5000 0.5000  4 P 3.33, 8 Cl 3.53

***

Material: HfPSeCl2
Method: DFT, GGA-PBEsol
State: optimized geometry

Magnetic moment = 0.02 μB/atom
Energy = -26.06 eV per cell

a b c (Å): 4.7115 4.7115 5.2952
angles (deg): 90.00 90.00 90.00
Last column: nearest neighbours and their distance in Å.
Fractional coordinates of all 5 atoms:
1 Se 0.5000 0.5000 0.5000  4 P 3.33, 8 Cl 3.54
2 P 0.0000 0.0000 0.5000  2 Hf 2.65
3 Cl 0.0000 0.5000 0.0000  2 Hf 2.36
4 Cl 0.5000 0.0000 0.0000  2 Hf 2.36
5 Hf 0.0000 0.0000 0.0000  4 Cl 2.36

***

Number 1: uncorrected formation energy -254.4 meV per atom. Number 2: uncorrected formation energy -380.0 meV per atom.